[1]
# NdCdAu2 GGA-PBEsol relaxed
data_NdCdAu2
_space_group_name_H-M_alt 'F m -3 m'
_space_group_IT_number 225
_space_group_name_Hall '-F 4 2 3'
_cell_length_a 6.982
_cell_length_b 6.982
_cell_length_c 6.982
_cell_angle_alpha 90.00
_cell_angle_beta 90.00
_cell_angle_gamma 90.00
loop_
_atom_site_label
_atom_site_type_symbol
_atom_site_fract_x
_atom_site_fract_y
_atom_site_fract_z
Nd1 Nd 0.000 0.000 0.000
Cd1 Cd 0.000 0.000 0.500
Au1 Au 0.250 0.250 0.250
# formation energy	-2.51	eV per formula unit
# total magnetic moment	0.00	Bohr magnetons per cell


[2]
# Li3Co4NiO8 GGA-PBEsol relaxed
data_Li3Co4NiO8
_space_group_name_H-M_alt 'C 1 2/m 1'
_space_group_IT_number 12
_space_group_name_Hall '-C 2y'
_cell_length_a 9.898
_cell_length_b 5.693
_cell_length_c 5.582
_cell_angle_alpha 90.00
_cell_angle_beta 124.16
_cell_angle_gamma 90.00
loop_
_atom_site_label
_atom_site_type_symbol
_atom_site_fract_x
_atom_site_fract_y
_atom_site_fract_z
Li1 Li 0.000 0.000 0.000
Li2 Li 0.250 0.250 0.000
Co1 Co 0.000 0.000 0.500
Co2 Co 0.000 0.500 0.000
Co3 Co 0.250 0.250 0.500
Ni1 Ni 0.000 0.500 0.500
O1 O 0.018 0.244 0.273
O2 O 0.238 0.000 0.715
O3 O 0.243 0.500 0.724
# formation energy from raw total energies	-28.2	kcal/mol of atoms
# total magnetic moment	9.05	Bohr magnetons per cell


[3]
# Cd2AsRh2 GGA-PBEsol relaxed
data_Cd2AsRh2
_space_group_name_H-M_alt 'P 4/m b m'
_space_group_IT_number 127
_space_group_name_Hall '-P 4 2ab'
_cell_length_a 6.255
_cell_length_b 6.255
_cell_length_c 4.352
_cell_angle_alpha 90.00
_cell_angle_beta 90.00
_cell_angle_gamma 90.00
loop_
_atom_site_label
_atom_site_type_symbol
_atom_site_fract_x
_atom_site_fract_y
_atom_site_fract_z
Cd1 Cd 0.157 0.343 0.000
As1 As 0.000 0.000 0.500
Rh1 Rh 0.156 0.656 0.500
# formation energy	-1.07	eV per formula unit
# total magnetic moment	0.00	Bohr magnetons per cell


[4]
# Mn4PCl GGA-PBEsol relaxed
data_Mn4PCl
_space_group_name_H-M_alt 'F -4 3 m'
_space_group_IT_number 216
_space_group_name_Hall 'F -4 2 3'
_cell_length_a 6.896
_cell_length_b 6.896
_cell_length_c 6.896
_cell_angle_alpha 90.00
_cell_angle_beta 90.00
_cell_angle_gamma 90.00
loop_
_atom_site_label
_atom_site_type_symbol
_atom_site_fract_x
_atom_site_fract_y
_atom_site_fract_z
Mn1 Mn 0.123 0.123 0.123
P1 P 0.250 0.250 0.750
Cl1 Cl 0.000 0.000 0.500
# formation energy from raw total energies	17.5	kcal/mol of atoms
# total magnetic moment	42.52	Bohr magnetons per cell


[5]
# Sc2AlRh GGA-PBEsol relaxed
data_Sc2AlRh
_space_group_name_H-M_alt 'R 3 m'
_space_group_IT_number 160
_space_group_name_Hall 'R 3 -2"'
_cell_length_a 3.1299
_cell_length_b 3.1299
_cell_length_c 26.4236
_cell_angle_alpha 90.00
_cell_angle_beta 90.00
_cell_angle_gamma 120.00
loop_
_atom_site_label
_atom_site_type_symbol
_atom_site_fract_x
_atom_site_fract_y
_atom_site_fract_z
Sc1 Sc 0.0000 0.0000 0.0000
Sc2 Sc 0.0000 0.0000 0.2313
Al1 Al 0.0000 0.0000 0.4746
Rh1 Rh 0.0000 0.0000 0.7419
# formation energy	-1.22	eV per formula unit
# total magnetic moment	2.23	Bohr magnetons per cell


[6]
# Al5Ag7 GGA-PBEsol relaxed
data_Al5Ag7
_space_group_name_H-M_alt 'C 1 2/m 1'
_space_group_IT_number 12
_space_group_name_Hall '-C 2y'
_cell_length_a 8.064
_cell_length_b 8.074
_cell_length_c 6.300
_cell_angle_alpha 90.00
_cell_angle_beta 109.96
_cell_angle_gamma 90.00
loop_
_atom_site_label
_atom_site_type_symbol
_atom_site_fract_x
_atom_site_fract_y
_atom_site_fract_z
Al1 Al 0.000 0.000 0.000
Al2 Al 0.179 0.000 0.659
Al3 Al 0.250 0.250 0.000
Ag1 Ag 0.000 0.500 0.000
Ag2 Ag 0.076 0.241 0.326
Ag3 Ag 0.172 0.500 0.677
# formation energy	-0.84	eV per formula unit
# total magnetic moment	0.00	Bohr magnetons per cell